DFT (PBE+U) results for crystalline LaCoO3 at its relaxed geometry. Values from VASP.

Geometry as Quantum ESPRESSO input:
```
&SYSTEM
  ibrav = 0, nat = 20, ntyp = 3
/
ATOMIC_SPECIES
La 138.91 La.upf
O 16.00 O.upf
Co 58.93 Co.upf
CELL_PARAMETERS angstrom
-0.397 -5.457 0.426
5.053 -0.210 2.011
-2.879 0.781 7.315
ATOMIC_POSITIONS crystal
La 0.006 0.975 0.750
La 0.494 0.475 0.750
La 0.994 0.025 0.250
La 0.506 0.525 0.250
O 0.227 0.226 0.539
O 0.727 0.274 0.039
O 0.430 0.992 0.250
O 0.727 0.274 0.461
O 0.070 0.492 0.250
O 0.773 0.774 0.039
O 0.570 0.008 0.750
O 0.273 0.726 0.961
O 0.930 0.508 0.750
O 0.227 0.226 0.961
O 0.273 0.726 0.539
O 0.773 0.774 0.461
Co 0.000 0.500 0.500
Co 0.500 0.000 0.500
Co 0.500 0.000 0.000
Co 0.000 0.500 0.000
```

Calculated values
- VASP energy (eV per atom) = -7.2042
- Fermi-level density of states (states/eV/cell) = 1.7
- SG = Pnma